Entry from Alexandria via LeMat-Bulk: a relaxed structure of AcPmNi2P2 (PBE).

Cell: 4.018 4.018 8.315 Å, 90.00 90.00 120.00°
Atoms (fractional coordinates):
Ac 0.000 0.000 0.000
Pm 0.000 0.000 0.500
Ni 0.333 0.667 0.741
Ni 0.667 0.333 0.259
P 0.333 0.667 0.268
P 0.667 0.333 0.732

Output
- space group = P-3m1, No. 164
- M_tot (μB/f.u.) = 0.0
- calculated total energy (eV per cell) = -37.93
- energy of formation from the pure elements (meV per atom) = -1115